The following is a DFT calculation (GGA-PBE) of a relaxed Y2PuPt9 crystal.

a b c (Å): 5.4199 5.4199 26.5285
angles (deg): 90.00 90.00 120.00
Space group R-3m (No. 166, hexagonal axes)
Asymmetric unit:
Y 0.0000 0.0000 0.1393 x6
Pu 0.0000 0.0000 0.0000 x3
Pt 0.0000 0.0000 0.3330 x6
Pt 0.0000 0.0000 0.5000 x3
Pt 0.0043 0.5021 0.9147 x18

## Properties
The value obtained for the mass density is 16.1 Mg/m³. Its formation energy from the elements is -0.86 eV/atom.